Arrangement one

A geometry-optimized V3AsIr structure, computed with PBE.

Structure (extended XYZ):
```
5
Lattice="4.388 0.000 0.000 0.000 4.388 0.000 0.000 0.000 4.388" Properties=species:S:1:pos:R:3 pbc="T T T"
V 0.000 0.000 2.194
V 0.000 2.194 0.000
V 2.194 0.000 0.000
As 0.000 0.000 0.000
Ir 2.194 2.194 2.194
```

Values from the calculation:
The size of the total moment is 0.00 μB/f.u. Its density of states at the Fermi level is 1.2606 states/eV per atom. The symmetry is Pm-3m.

Arrangement two

A geometry-optimized V3AsIr structure, computed with PBE.

Structure (extended XYZ):
```
5
Lattice="4.667 0.000 0.000 0.000 4.667 0.000 0.000 0.000 4.667" Properties=species:S:1:pos:R:3 pbc="T T T"
V 0.000 0.000 2.333
V 0.000 2.333 0.000
V 2.333 0.000 0.000
As 2.333 2.333 2.333
Ir 0.000 0.000 0.000
```

Values from the calculation:
The size of the total moment is 4.54 μB/f.u. Its density of states at the Fermi level is 1.6766 states/eV per atom. The symmetry is Pm-3m.

Relative to the most stable one, in meV per atom, the structures come out at arrangement one 0; arrangement two 76.